Entry 1:
## Tb12Pm6Er (GGA-PBE)

Data for a geometry-optimized Tb12Pm6Er structure.

Values from the calculation:
The calculation puts the volume at 654 Å³/f.u. The formation energy comes out at 0.3421 eV/atom.

Structure (extended XYZ):
```
19
Lattice="8.3350 4.8122 2.7191 -8.3350 4.8122 2.7191 0.0000 -9.6244 2.7191" Properties=species:S:1:pos:R:3 pbc="T T T"
Tb -3.1744 -4.1261 2.7191
Tb -5.1605 -0.6861 2.7191
Tb 0.0000 -3.1415 3.0535
Tb -2.7206 1.5707 3.0535
Tb -5.1605 0.6861 5.4382
Tb -1.9861 4.8122 2.7191
Tb -2.7206 -1.5707 5.1038
Tb 2.7206 1.5707 3.0535
Tb -3.1744 4.1261 5.4382
Tb 1.9861 4.8122 2.7191
Tb 2.7206 -1.5707 5.1038
Tb 0.0000 3.1415 5.1038
Pm -5.8007 -3.3490 4.7234
Pm 0.0000 -6.6981 3.4339
Pm -5.8007 3.3490 3.4339
Pm 5.8007 -3.3491 4.7234
Pm 0.0000 6.6981 4.7234
Pm 5.8007 3.3491 3.4339
Er 0.0000 0.0000 4.0786
```

=====

Entry 2:
## La2AlSe (GGA-PBE)

Data for a geometry-optimized La2AlSe structure.

Values from the calculation:
As for the uncorrected formation energy: -1.051 eV/atom. The calculation puts the volume at 122 Å³/f.u.

Structure (extended XYZ):
```
8
Lattice="7.3124 0.0000 0.0000 0.0000 4.2134 0.0000 -2.4259 0.0000 7.9008" Properties=species:S:1:pos:R:3 pbc="T T T"
La 1.2203 0.0000 1.8669
La 0.0100 2.1067 6.0339
La 4.8765 2.1067 1.8669
La 3.6661 0.0000 6.0339
Al -1.2129 0.0000 3.9504
Al 2.4432 2.1067 3.9504
Se 0.0000 2.1067 0.0000
Se 3.6562 0.0000 0.0000
```

=====

| no. | calculated density (g/cm3) |
| --- | --- |
| 1 | 7.5 |
| 2 | 5.2 |